[1]
Computed, not measured: a geometry-optimized NdY2Se3 structure at the PBE-GGA level of DFT.

a = 7.1723 Å, b = 7.1723 Å, c = 7.1723 Å
α = 146.50°, β = 131.94°, γ = 59.86°
Positions (direct):
Nd1 0.0000 0.0000 0.0000
Y1 0.3395 0.3395 0.0000
Y2 0.6605 0.6605 0.0000
Se1 0.1753 0.6753 0.5000
Se2 0.5000 0.0000 0.5000
Se3 0.8247 0.3247 0.5000

Calculated values
Crystal system: orthorhombic
Space group: Immm (71)
Energy, eV per atom: -6.478

=====

[2]
Computed, not measured: a geometry-optimized NdYSe2 structure at the PBE-GGA level of DFT.

a = 7.6505 Å, b = 7.6505 Å, c = 7.6505 Å
α = 30.62°, β = 30.62°, γ = 30.62°
Positions (direct):
Nd1 0.0000 0.0000 0.0000
Y1 0.1770 0.1770 0.1770
Se1 0.4242 0.4242 0.4242
Se2 0.5861 0.5861 0.5861

Calculated values
Crystal system: trigonal
Space group: R3m (160)
Polymorph energy (0 for the lowest one), eV/atom: 0.0353

=====

[3]
Computed, not measured: a geometry-optimized Nd2Y3Se8 structure at the PBE-GGA level of DFT.

a = 8.3581 Å, b = 8.3581 Å, c = 7.0690 Å
α = 106.79°, β = 106.79°, γ = 59.78°
Positions (direct):
Nd1 0.2400 0.2400 0.1619
Nd2 0.7600 0.7600 0.8381
Y1 0.2390 0.7610 0.5000
Y2 0.5000 0.5000 0.0000
Y3 0.7610 0.2390 0.5000
Se1 0.1213 0.1213 0.4249
Se2 0.1428 0.6169 0.0884
Se3 0.3831 0.8572 0.9116
Se4 0.3846 0.3846 0.5792
Se5 0.6154 0.6154 0.4208
Se6 0.6169 0.1428 0.0884
Se7 0.8572 0.3831 0.9116
Se8 0.8787 0.8787 0.5751

Calculated values
Crystal system: monoclinic
Space group: C2/m (12)
Energy, eV per atom: -6.104

=====

[4]
Computed, not measured: a geometry-optimized NdYSe3 structure at the PBE-GGA level of DFT.

a = 8.1742 Å, b = 4.1273 Å, c = 8.2902 Å
α = 90.00°, β = 94.77°, γ = 90.00°
Positions (direct):
Nd1 0.1203 0.2500 0.2708
Nd2 0.8797 0.7500 0.7292
Y1 0.3543 0.7500 0.8242
Y2 0.6457 0.2500 0.1758
Se1 0.1241 0.2500 0.8894
Se2 0.1836 0.7500 0.5237
Se3 0.3981 0.7500 0.1802
Se4 0.6019 0.2500 0.8198
Se5 0.8164 0.2500 0.4763
Se6 0.8759 0.7500 0.1106

Calculated values
Crystal system: monoclinic
Space group: P2_1/m (11)
Polymorph energy (0 for the lowest one), eV/atom: 0.0000